No. 1
Density functional theory data (GGA-PBE) for an optimized crystal structure of CeAlN2.

POSCAR file:
```
CeAlN2
1.0
1.5970 0.9220 6.0872
-1.5970 0.9220 6.0872
0.0000 -1.8440 6.0872
Ce Al N
1 1 2
direct
0.0000 0.0000 0.0000 Ce
0.5000 0.5000 0.5000 Al
0.1129 0.1129 0.1129 N
0.8871 0.8871 0.8871 N
```

Properties
- ρ (g/cm³) = 6.02
- magnetic moment (μB per formula unit) = 0.424
- energy relative to the elements, uncorrected (meV/atom) = -417

No. 2
Density functional theory data (GGA-PBE) for an optimized crystal structure of Ce2AlN.

POSCAR file:
```
Ce2AlN
1.0
1.7633 1.0180 7.8706
-1.7633 1.0180 7.8706
0.0000 -2.0361 7.8706
Ce Al N
2 1 1
direct
0.2271 0.2271 0.2271 Ce
0.7729 0.7729 0.7729 Ce
0.0000 0.0000 0.0000 Al
0.5000 0.5000 0.5000 N
```

Properties
- ρ (g/cm³) = 6.29
- magnetic moment (μB per formula unit) = 0.000
- energy relative to the elements, uncorrected (meV/atom) = -743

No. 3
Density functional theory data (GGA-PBE) for an optimized crystal structure of Ce4Al2N.

POSCAR file:
```
Ce4Al2N
1.0
-2.4107 2.4107 7.6923
2.4107 -2.4107 7.6923
2.4107 2.4107 -7.6923
Ce Al N
4 2 1
direct
0.0000 0.5000 0.5000 Ce
0.1632 0.1632 0.0000 Ce
0.5000 0.0000 0.5000 Ce
0.8368 0.8368 0.0000 Ce
0.3668 0.3668 0.0000 Al
0.6332 0.6332 0.0000 Al
0.0000 0.0000 0.0000 N
```

Properties
- ρ (g/cm³) = 5.84
- magnetic moment (μB per formula unit) = 2.295
- energy relative to the elements, uncorrected (meV/atom) = -458

No. 4
Density functional theory data (GGA-PBE) for an optimized crystal structure of Ce2AlN.

POSCAR file:
```
Ce2AlN
1.0
3.0669 0.0000 0.0000
0.0000 3.0669 0.0000
0.0000 0.0000 7.7931
Ce Al N
2 1 1
direct
0.0000 0.0000 0.1892 Ce
0.0000 0.0000 0.8108 Ce
0.5000 0.5000 0.5000 Al
0.5000 0.5000 0.0000 N
```

Properties
- ρ (g/cm³) = 7.28
- magnetic moment (μB per formula unit) = 0.002
- energy relative to the elements, uncorrected (meV/atom) = -577